Entry w
Computed, not measured: ScNbW after structural relaxation at the GGA-PBE level of DFT.

The value obtained for the magnetic moment is 0.00 μB/f.u.

Cell and atoms, written as CIF:
```
data_ScNbW
_chemical_formula_sum 'Sc2 Nb2 W2'
_cell_length_a 3.346
_cell_length_b 3.346
_cell_length_c 10.226
_cell_angle_alpha 90.00
_cell_angle_beta 90.00
_cell_angle_gamma 90.00
_symmetry_space_group_name_H-M 'I 4 m m'
_symmetry_Int_Tables_number 107
_symmetry_space_group_name_Hall 'I 4 -2'
loop_
_atom_site_label
_atom_site_fract_x
_atom_site_fract_y
_atom_site_fract_z
_atom_site_occupancy
Sc1 0.000 0.000 0.000 1
Nb1 0.000 0.000 0.306 1
W1 0.000 0.000 0.679 1
```

=====

Entry x
Computed, not measured: ScNbW after structural relaxation at the GGA-PBE level of DFT.

The value obtained for the magnetic moment is 0.00 μB/f.u.

Cell and atoms, written as CIF:
```
data_ScNbW
_chemical_formula_sum 'Sc8 Nb8 W8'
_cell_length_a 5.719
_cell_length_b 8.628
_cell_length_c 9.815
_cell_angle_alpha 90.00
_cell_angle_beta 90.00
_cell_angle_gamma 90.00
_symmetry_space_group_name_H-M 'F m m m'
_symmetry_Int_Tables_number 69
_symmetry_space_group_name_Hall '-F 2 2'
loop_
_atom_site_label
_atom_site_fract_x
_atom_site_fract_y
_atom_site_fract_z
_atom_site_occupancy
Sc1 0.000 0.178 0.000 1
Nb1 0.000 0.000 0.331 1
W1 0.250 0.250 0.250 1
```

=====

Stability verdict: entry w, ahead by 118 meV/atom

=====

Entry w
Computed, not measured: YScNb3 after structural relaxation at the GGA-PBE level of DFT.

The value obtained for the magnetic moment is 0.00 μB/f.u.

Cell and atoms, written as CIF:
```
data_YScNb3
_chemical_formula_sum 'Y1 Sc1 Nb3'
_cell_length_a 4.886
_cell_length_b 4.886
_cell_length_c 4.886
_cell_angle_alpha 90.00
_cell_angle_beta 90.00
_cell_angle_gamma 90.00
_symmetry_space_group_name_H-M 'P m -3 m'
_symmetry_Int_Tables_number 221
_symmetry_space_group_name_Hall '-P 4 2 3'
loop_
_atom_site_label
_atom_site_fract_x
_atom_site_fract_y
_atom_site_fract_z
_atom_site_occupancy
Y1 0.000 0.000 0.000 1
Sc1 0.500 0.500 0.500 1
Nb1 0.000 0.500 0.500 1
```

=====

Entry x
Computed, not measured: YScNb3 after structural relaxation at the GGA-PBE level of DFT.

The value obtained for the magnetic moment is 0.00 μB/f.u.

Cell and atoms, written as CIF:
```
data_YScNb3
_chemical_formula_sum 'Y1 Sc1 Nb3'
_cell_length_a 4.973
_cell_length_b 4.973
_cell_length_c 4.973
_cell_angle_alpha 90.00
_cell_angle_beta 90.00
_cell_angle_gamma 90.00
_symmetry_space_group_name_H-M 'P m -3 m'
_symmetry_Int_Tables_number 221
_symmetry_space_group_name_Hall '-P 4 2 3'
loop_
_atom_site_label
_atom_site_fract_x
_atom_site_fract_y
_atom_site_fract_z
_atom_site_occupancy
Y1 0.000 0.000 0.000 1
Sc1 0.500 0.500 0.500 1
Nb1 0.000 0.000 0.500 1
```

=====

Stability verdict: entry w, ahead by 483 meV/atom

=====

Entry w
Computed, not measured: YSc2Nb after structural relaxation at the GGA-PBE level of DFT.

The value obtained for the magnetic moment is 0.00 μB/f.u.

Cell and atoms, written as CIF:
```
data_YSc2Nb
_chemical_formula_sum 'Y4 Sc8 Nb4'
_cell_length_a 4.348
_cell_length_b 4.348
_cell_length_c 20.974
_cell_angle_alpha 90.00
_cell_angle_beta 90.00
_cell_angle_gamma 90.00
_symmetry_space_group_name_H-M 'I -4 2 d'
_symmetry_Int_Tables_number 122
_symmetry_space_group_name_Hall 'I -4 2bw'
loop_
_atom_site_label
_atom_site_fract_x
_atom_site_fract_y
_atom_site_fract_z
_atom_site_occupancy
Y1 0.000 0.000 0.000 1
Sc1 0.228 0.750 0.625 1
Nb1 0.000 0.000 0.500 1
```

=====

Entry x
Computed, not measured: YSc2Nb after structural relaxation at the GGA-PBE level of DFT.

The value obtained for the magnetic moment is 0.00 μB/f.u.

Cell and atoms, written as CIF:
```
data_YSc2Nb
_chemical_formula_sum 'Y1 Sc2 Nb1'
_cell_length_a 3.687
_cell_length_b 3.687
_cell_length_c 7.064
_cell_angle_alpha 90.00
_cell_angle_beta 90.00
_cell_angle_gamma 90.00
_symmetry_space_group_name_H-M 'P 4/m m m'
_symmetry_Int_Tables_number 123
_symmetry_space_group_name_Hall '-P 4 2'
loop_
_atom_site_label
_atom_site_fract_x
_atom_site_fract_y
_atom_site_fract_z
_atom_site_occupancy
Y1 0.000 0.000 0.000 1
Sc1 0.500 0.500 0.294 1
Nb1 0.000 0.000 0.500 1
```

=====

Stability verdict: entry x, ahead by 431 meV/atom

=====

Entry w
Computed, not measured: YSc2Nb after structural relaxation at the GGA-PBE level of DFT.

The value obtained for the magnetic moment is 0.00 μB/f.u.

Cell and atoms, written as CIF:
```
data_YSc2Nb
_chemical_formula_sum 'Y4 Sc8 Nb4'
_cell_length_a 7.195
_cell_length_b 7.195
_cell_length_c 7.195
_cell_angle_alpha 90.00
_cell_angle_beta 90.00
_cell_angle_gamma 90.00
_symmetry_space_group_name_H-M 'F m -3 m'
_symmetry_Int_Tables_number 225
_symmetry_space_group_name_Hall '-F 4 2 3'
loop_
_atom_site_label
_atom_site_fract_x
_atom_site_fract_y
_atom_site_fract_z
_atom_site_occupancy
Y1 0.000 0.000 0.000 1
Sc1 0.250 0.250 0.250 1
Nb1 0.000 0.000 0.500 1
```

=====

Entry x
Computed, not measured: YSc2Nb after structural relaxation at the GGA-PBE level of DFT.

The value obtained for the magnetic moment is 0.00 μB/f.u.

Cell and atoms, written as CIF:
```
data_YSc2Nb
_chemical_formula_sum 'Y3 Sc6 Nb3'
_cell_length_a 3.2220
_cell_length_b 3.2220
_cell_length_c 32.0054
_cell_angle_alpha 90.00
_cell_angle_beta 90.00
_cell_angle_gamma 120.00
_symmetry_space_group_name_H-M 'R -3 m'
_symmetry_Int_Tables_number 166
_symmetry_space_group_name_Hall '-R 3 2"'
loop_
_atom_site_label
_atom_site_fract_x
_atom_site_fract_y
_atom_site_fract_z
_atom_site_occupancy
Y1 0.0000 0.0000 0.0000 1
Sc1 0.0000 0.0000 0.2410 1
Nb1 0.0000 0.0000 0.5000 1
```

=====

Stability verdict: entry x, ahead by 53 meV/atom

=====

Entry w
Computed, not measured: Y2ScNb2 after structural relaxation at the GGA-PBE level of DFT.

The value obtained for the magnetic moment is 0.00 μB/f.u.

Cell and atoms, written as CIF:
```
data_Y2ScNb2
_chemical_formula_sum 'Y4 Sc2 Nb4'
_cell_length_a 8.287
_cell_length_b 8.287
_cell_length_c 3.545
_cell_angle_alpha 90.00
_cell_angle_beta 90.00
_cell_angle_gamma 90.00
_symmetry_space_group_name_H-M 'P 4/m b m'
_symmetry_Int_Tables_number 127
_symmetry_space_group_name_Hall '-P 4 2ab'
loop_
_atom_site_label
_atom_site_fract_x
_atom_site_fract_y
_atom_site_fract_z
_atom_site_occupancy
Y1 0.139 0.361 0.000 1
Sc1 0.000 0.000 0.000 1
Nb1 0.158 0.658 0.500 1
```

=====

Entry x
Computed, not measured: Y2ScNb2 after structural relaxation at the GGA-PBE level of DFT.

The value obtained for the magnetic moment is 0.00 μB/f.u.

Cell and atoms, written as CIF:
```
data_Y2ScNb2
_chemical_formula_sum 'Y4 Sc2 Nb4'
_cell_length_a 4.009
_cell_length_b 4.009
_cell_length_c 15.992
_cell_angle_alpha 90.00
_cell_angle_beta 90.00
_cell_angle_gamma 90.00
_symmetry_space_group_name_H-M 'I 4/m m m'
_symmetry_Int_Tables_number 139
_symmetry_space_group_name_Hall '-I 4 2'
loop_
_atom_site_label
_atom_site_fract_x
_atom_site_fract_y
_atom_site_fract_z
_atom_site_occupancy
Y1 0.000 0.000 0.102 1
Sc1 0.000 0.000 0.500 1
Nb1 0.000 0.500 0.250 1
```

=====

Entry y
Computed, not measured: Y2ScNb2 after structural relaxation at the GGA-PBE level of DFT.

The value obtained for the magnetic moment is 0.00 μB/f.u.

Cell and atoms, written as CIF:
```
data_Y2ScNb2
_chemical_formula_sum 'Y4 Sc2 Nb4'
_cell_length_a 7.800
_cell_length_b 7.800
_cell_length_c 4.109
_cell_angle_alpha 90.00
_cell_angle_beta 90.00
_cell_angle_gamma 90.00
_symmetry_space_group_name_H-M 'P 4/m b m'
_symmetry_Int_Tables_number 127
_symmetry_space_group_name_Hall '-P 4 2ab'
loop_
_atom_site_label
_atom_site_fract_x
_atom_site_fract_y
_atom_site_fract_z
_atom_site_occupancy
Y1 0.170 0.330 0.000 1
Sc1 0.000 0.000 0.500 1
Nb1 0.122 0.622 0.500 1
```

=====

Stability verdict: entry y, ahead by 205 meV/atom

=====

Entry w
Computed, not measured: ScNb3Zn after structural relaxation at the GGA-PBE level of DFT.

The value obtained for the magnetic moment is 0.00 μB/f.u.

Cell and atoms, written as CIF:
```
data_ScNb3Zn
_chemical_formula_sum 'Sc1 Nb3 Zn1'
_cell_length_a 4.783
_cell_length_b 4.783
_cell_length_c 4.783
_cell_angle_alpha 90.00
_cell_angle_beta 90.00
_cell_angle_gamma 90.00
_symmetry_space_group_name_H-M 'P m -3 m'
_symmetry_Int_Tables_number 221
_symmetry_space_group_name_Hall '-P 4 2 3'
loop_
_atom_site_label
_atom_site_fract_x
_atom_site_fract_y
_atom_site_fract_z
_atom_site_occupancy
Sc1 0.000 0.000 0.000 1
Nb1 0.000 0.500 0.500 1
Zn1 0.500 0.500 0.500 1
```

=====

Entry x
Computed, not measured: ScNb3Zn after structural relaxation at the GGA-PBE level of DFT.

The value obtained for the magnetic moment is 0.00 μB/f.u.

Cell and atoms, written as CIF:
```
data_ScNb3Zn
_chemical_formula_sum 'Sc1 Nb3 Zn1'
_cell_length_a 4.744
_cell_length_b 4.744
_cell_length_c 4.744
_cell_angle_alpha 90.00
_cell_angle_beta 90.00
_cell_angle_gamma 90.00
_symmetry_space_group_name_H-M 'P m -3 m'
_symmetry_Int_Tables_number 221
_symmetry_space_group_name_Hall '-P 4 2 3'
loop_
_atom_site_label
_atom_site_fract_x
_atom_site_fract_y
_atom_site_fract_z
_atom_site_occupancy
Sc1 0.000 0.000 0.000 1
Nb1 0.000 0.000 0.500 1
Zn1 0.500 0.500 0.500 1
```

=====

Stability verdict: entry w, ahead by 596 meV/atom